Material: Zn2ReBr
Method: DFT, PBE-GGA
State: relaxed

The calculation puts the volume at 74.2 Å³ per cell. As for the formation energy from raw total energies: 1.9 eV per formula unit.

The space group is P4/mmm (No. 123) and the conventional cell measures 2.9313, 2.9313 and 8.6334 Å, with angles of 90.00, 90.00 and 90.00 degrees. The distinct sites, in fractional coordinates, are Zn at (0.0000, 0.0000, 0.1976), Re at (0.5000, 0.5000, 0.0000) and Br at (0.5000, 0.5000, 0.5000).